i:
VASP calculation (GGA-PBE) on an optimized crystal structure of Sc2Cd2Pb.

Cell lengths 8.200, 8.200, 3.541 Å; angles 90.00, 90.00, 90.00 degrees
Space group P4/mbm (No. 127)
Unique sites:
Sc (0.171, 0.329, 0.000) (multiplicity 4)
Cd (0.125, 0.625, 0.500) (multiplicity 4)
Pb (0.000, 0.000, 0.500) (multiplicity 2)



ii:
VASP calculation (GGA-PBE) on an optimized crystal structure of Sc2Cd2Pb.

Cell lengths 4.033, 4.033, 15.726 Å; angles 90.00, 90.00, 90.00 degrees
Space group I4/mmm (No. 139)
Unique sites:
Sc (0.000, 0.000, 0.094) (multiplicity 4)
Cd (0.000, 0.500, 0.250) (multiplicity 4)
Pb (0.000, 0.000, 0.500) (multiplicity 2)



Energy ordering: i at the bottom, the next structure 176 meV/atom above.